1.
The following is a DFT calculation (PBE) of an optimized crystal structure of HfBeTcSb.

a = 6.3907 Å, b = 6.3907 Å, c = 6.3907 Å
α = 90.00°, β = 90.00°, γ = 90.00°
Closest atoms and distances in Å follow each position.
Space group F-43m (No. 216)
Symmetry-distinct sites (fractional):
Hf 0.0000 0.0000 0.0000 [4 per cell]  4 Tc 2.77, 4 Be 2.77
Be 0.2500 0.2500 0.7500 [4 per cell]  4 Hf 2.77, 4 Sb 2.77
Tc 0.2500 0.2500 0.2500 [4 per cell]  4 Hf 2.77, 4 Sb 2.77
Sb 0.0000 0.0000 0.5000 [4 per cell]  4 Be 2.77, 4 Tc 2.77

The relative energy among the computed polymorphs is 0 meV/atom. The value obtained for the total magnetic moment is 0.00 μB per formula unit.

2.
The following is a DFT calculation (PBE) of an optimized crystal structure of MgCdH2Cl2O2.

a = 3.5255 Å, b = 3.5255 Å, c = 10.4450 Å
α = 90.00°, β = 90.00°, γ = 120.00°
Closest atoms and distances in Å follow each position.
Space group P3m1 (No. 156)
Symmetry-distinct sites (fractional):
Mg 0.0000 0.0000 0.0000 [1 per cell]  3 O 2.16
Cd 0.3333 0.6667 0.4939 [1 per cell]  3 O 2.24
H 0.6667 0.3333 0.1628 [1 per cell]  1 O 0.98
H 0.6667 0.3333 0.6766 [1 per cell]  1 O 0.98
Cl 0.0000 0.0000 0.3258 [1 per cell]  3 H 2.65, 3 Cd 2.69
Cl 0.3333 0.6667 0.8468 [1 per cell]  3 Mg 2.59, 3 H 2.70
O 0.6667 0.3333 0.0690 [1 per cell]  1 H 0.98
O 0.6667 0.3333 0.5828 [1 per cell]  1 H 0.98

Its raw total energy is -4.28 eV/atom.

3.
The following is a DFT calculation (PBE) of an optimized crystal structure of FeAgGeS3.

a = 3.3518 Å, b = 14.6712 Å, c = 9.0785 Å
α = 90.00°, β = 90.00°, γ = 90.00°
Closest atoms and distances in Å follow each position.
Space group Cmcm (No. 63)
Symmetry-distinct sites (fractional):
Fe 0.0000 0.0000 0.0000 [4 per cell]  6 S 2.29-2.34
Ag 0.0000 0.3014 0.2500 [4 per cell]  2 S 2.49, 2 Ge 2.74
Ge 0.0000 0.3461 0.7500 [4 per cell]  4 S 2.39-2.55
S 0.0000 0.0375 0.2500 [4 per cell]  2 Fe 2.34, 2 Ge 2.39
S 0.0000 0.3940 0.0203 [8 per cell]  2 Fe 2.29, 1 Ag 2.49, 1 Ge 2.55

The value obtained for the total magnetic moment is 1.33 μB per formula unit. Its raw total energy is -4.89 eV/atom.

4.
The following is a DFT calculation (PBE) of an optimized crystal structure of Sc2ZnIr.

a = 4.5879 Å, b = 4.5879 Å, c = 8.1652 Å
α = 90.00°, β = 90.00°, γ = 120.00°
Closest atoms and distances in Å follow each position.
Space group P6_3/mmc (No. 194)
Symmetry-distinct sites (fractional):
Sc 0.3333 0.6667 0.0859 [4 per cell]  4 Sc 2.68-3.00, 4 Ir 2.74-2.97, 3 Zn 2.97
Zn 0.0000 0.0000 0.2500 [2 per cell]  3 Ir 2.65
Ir 0.3333 0.6667 0.7500 [2 per cell]  3 Zn 2.65, 2 Sc 2.74

The relative energy among the computed polymorphs is 207 meV/atom. The value obtained for the total magnetic moment is 0.03 μB per formula unit. The value obtained for the formation energy is -50 kJ per mole of atoms.

Number 1: ρ 10.4 g cm⁻³. Number 2: ρ 3.6 g cm⁻³. Number 3: ρ 4.9 g cm⁻³. Number 4: ρ 7.8 g cm⁻³.